Compound: Hf2AlCu
Source: the Alexandria database
Functional: PBE-GGA
Structure: optimized geometry

Calculated values
Energy of formation from the pure elements in eV per atom: -0.19
Crystal system: tetragonal
Final energy in eV per atom: -7.1222

a = 4.2983 Å, b = 4.2983 Å, c = 3.8871 Å
α = 90.00°, β = 90.00°, γ = 90.00°
Last column: nearest neighbours and their distance in Å.
Space group P4/mmm (No. 123)
Unique sites:
Hf: 0.0000 0.5000 0.0000 x2  4 Al 2.90, 4 Cu 2.90, 4 Hf 3.04
Al: 0.0000 0.0000 0.5000 x1  8 Hf 2.90, 4 Cu 3.04
Cu: 0.5000 0.5000 0.5000 x1  8 Hf 2.90, 4 Al 3.04

=====

Compound: CaEuHgPd
Source: the Alexandria database
Functional: PBE-GGA
Structure: optimized geometry

Calculated values
Energy of formation from the pure elements in eV per atom: -0.56
Crystal system: cubic
Final energy in eV per atom: -5.0064

a = 7.4282 Å, b = 7.4282 Å, c = 7.4282 Å
α = 90.00°, β = 90.00°, γ = 90.00°
Last column: nearest neighbours and their distance in Å.
Space group F-43m (No. 216)
Unique sites:
Ca: 0.0000 0.0000 0.0000 x4  4 Hg 3.22, 4 Pd 3.22
Eu: 0.0000 0.0000 0.5000 x4  4 Hg 3.22, 4 Pd 3.22
Hg: 0.2500 0.2500 0.2500 x4  4 Ca 3.22, 4 Eu 3.22
Pd: 0.2500 0.2500 0.7500 x4  4 Ca 3.22, 4 Eu 3.22

=====

Compound: La2TcSe
Source: the Alexandria database
Functional: PBE-GGA
Structure: optimized geometry

Calculated values
Formation energy without anion corrections in kJ per mole of atoms: -52.7
Crystal system: orthorhombic
Final energy in eV per atom: -6.4725

a = 3.5985 Å, b = 4.6588 Å, c = 11.9627 Å
α = 90.00°, β = 90.00°, γ = 90.00°
Last column: nearest neighbours and their distance in Å.
Space group Imm2 (No. 44)
Unique sites:
La: 0.0000 0.0000 0.0000 x2  4 Tc 2.96, 2 Se 3.21
La: 0.0000 0.5000 0.2329 x2  4 Se 3.10
Tc: 0.0000 0.0000 0.4747 x2  2 Se 2.62
Se: 0.0000 0.5000 0.8151 x2  2 Tc 2.62

=====

Compound: Li3GeAs2
Source: the Alexandria database
Functional: PBE-GGA
Structure: optimized geometry

Calculated values
Energy of formation from the pure elements in eV per atom: -0.28
Crystal system: orthorhombic
Final energy in eV per atom: -3.5515

a = 5.8011 Å, b = 11.6029 Å, c = 7.0498 Å
α = 90.00°, β = 90.00°, γ = 90.00°
Last column: nearest neighbours and their distance in Å.
Space group Ibam (No. 72)
Unique sites:
Li: 0.0000 0.0000 0.2500 x4  4 As 2.69
Li: 0.0000 0.2809 0.2500 x8  4 As 2.61-2.68
Ge: 0.0000 0.5000 0.0000 x4  2 As 2.36
As: 0.2078 0.1415 0.0000 x8  1 Ge 2.36, 2 Li 2.61

=====

Compound: Hf2Ti2H5
Source: the Alexandria database
Functional: PBE-GGA
Structure: optimized geometry

Calculated values
Crystal system: orthorhombic
Final energy in eV per atom: -6.1971

a = 14.2747 Å, b = 4.9696 Å, c = 4.9505 Å
α = 90.00°, β = 90.00°, γ = 90.00°
Last column: nearest neighbours and their distance in Å.
Space group Ima2 (No. 46)
Unique sites:
Hf: 0.0000 0.0000 0.0000 x4  6 H 2.01-2.06
Hf: 0.2500 0.0003 0.9941 x4  4 H 2.03-2.04
Ti: 0.1270 0.0007 0.4921 x8  5 H 1.89-1.92
H: 0.0724 0.7415 0.2501 x8  2 Ti 1.92, 2 Hf 2.01-2.06
H: 0.1258 0.1476 0.1375 x8  2 Ti 1.89-1.90, 2 Hf 2.04-2.06
H: 0.2500 0.6032 0.0980 x4  2 Ti 1.90, 2 Hf 2.03-2.04

=====

Compound: TiV2HPb
Source: the Alexandria database
Functional: PBE-GGA
Structure: optimized geometry

Calculated values
Crystal system: tetragonal
Final energy in eV per atom: -6.6179

a = 4.0129 Å, b = 4.0129 Å, c = 4.2073 Å
α = 90.00°, β = 90.00°, γ = 90.00°
Last column: nearest neighbours and their distance in Å.
Space group P4/mmm (No. 123)
Unique sites:
Ti: 0.0000 0.0000 0.0000 x1  2 H 2.10
V: 0.0000 0.5000 0.5000 x2  2 H 2.01
H: 0.0000 0.0000 0.5000 x1  4 V 2.01, 2 Ti 2.10
Pb: 0.5000 0.5000 0.0000 x1  4 Ti 2.84, 8 V 2.91